## a
Below is a geometry-optimized Sc3NbTl structure, with properties calculated at the PBE level.

Values from the calculation:
DOS(E_F) = 5.79 states/eV per cell
SG = No. 221

Structure (CIF):
```
data_Sc3NbTl
_chemical_formula_sum 'Sc3 Nb1 Tl1'
_space_group_name_H-M_alt 'P 1'
_space_group_IT_number 1
_cell_length_a 5.2944
_cell_length_b 5.2944
_cell_length_c 5.2944
_cell_angle_alpha 90.00
_cell_angle_beta 90.00
_cell_angle_gamma 90.00
loop_
_space_group_symop_operation_xyz
'x,y,z'
loop_
_atom_site_label
_atom_site_type_symbol
_atom_site_fract_x
_atom_site_fract_y
_atom_site_fract_z
Sc1 Sc 0.0000 0.0000 0.5000
Sc2 Sc 0.0000 0.5000 0.0000
Sc3 Sc 0.5000 0.0000 0.0000
Nb1 Nb 0.5000 0.5000 0.5000
Tl1 Tl 0.0000 0.0000 0.0000
```

## b
Below is a geometry-optimized Sc3NbTl structure, with properties calculated at the PBE level.

Values from the calculation:
DOS(E_F) = 5.92 states/eV per cell
SG = No. 221

Structure (CIF):
```
data_Sc3NbTl
_chemical_formula_sum 'Sc3 Nb1 Tl1'
_space_group_name_H-M_alt 'P 1'
_space_group_IT_number 1
_cell_length_a 5.1300
_cell_length_b 5.1300
_cell_length_c 5.1300
_cell_angle_alpha 90.00
_cell_angle_beta 90.00
_cell_angle_gamma 90.00
loop_
_space_group_symop_operation_xyz
'x,y,z'
loop_
_atom_site_label
_atom_site_type_symbol
_atom_site_fract_x
_atom_site_fract_y
_atom_site_fract_z
Sc1 Sc 0.0000 0.0000 0.5000
Sc2 Sc 0.0000 0.5000 0.0000
Sc3 Sc 0.5000 0.0000 0.0000
Nb1 Nb 0.0000 0.0000 0.0000
Tl1 Tl 0.5000 0.5000 0.5000
```

Result of the stability comparison: a is the least stable of them.

## a
Below is a geometry-optimized ScNb3Tl structure, with properties calculated at the PBE level.

Values from the calculation:
DOS(E_F) = 8.77 states/eV per cell
SG = No. 221

Structure (CIF):
```
data_ScNb3Tl
_chemical_formula_sum 'Sc1 Nb3 Tl1'
_space_group_name_H-M_alt 'P 1'
_space_group_IT_number 1
_cell_length_a 5.1250
_cell_length_b 5.1250
_cell_length_c 5.1250
_cell_angle_alpha 90.00
_cell_angle_beta 90.00
_cell_angle_gamma 90.00
loop_
_space_group_symop_operation_xyz
'x,y,z'
loop_
_atom_site_label
_atom_site_type_symbol
_atom_site_fract_x
_atom_site_fract_y
_atom_site_fract_z
Sc1 Sc 0.0000 0.0000 0.0000
Nb1 Nb 0.0000 0.5000 0.5000
Nb2 Nb 0.5000 0.0000 0.5000
Nb3 Nb 0.5000 0.5000 0.0000
Tl1 Tl 0.5000 0.5000 0.5000
```

## b
Below is a geometry-optimized ScNb3Tl structure, with properties calculated at the PBE level.

Values from the calculation:
DOS(E_F) = 5.71 states/eV per cell
SG = No. 221

Structure (CIF):
```
data_ScNb3Tl
_chemical_formula_sum 'Sc1 Nb3 Tl1'
_space_group_name_H-M_alt 'P 1'
_space_group_IT_number 1
_cell_length_a 4.7977
_cell_length_b 4.7977
_cell_length_c 4.7977
_cell_angle_alpha 90.00
_cell_angle_beta 90.00
_cell_angle_gamma 90.00
loop_
_space_group_symop_operation_xyz
'x,y,z'
loop_
_atom_site_label
_atom_site_type_symbol
_atom_site_fract_x
_atom_site_fract_y
_atom_site_fract_z
Sc1 Sc 0.0000 0.0000 0.0000
Nb1 Nb 0.0000 0.0000 0.5000
Nb2 Nb 0.0000 0.5000 0.0000
Nb3 Nb 0.5000 0.0000 0.0000
Tl1 Tl 0.5000 0.5000 0.5000
```

Result of the stability comparison: a is the least stable of them.

## a
Below is a geometry-optimized ScNb2V2 structure, with properties calculated at the PBE level.

Values from the calculation:
DOS(E_F) = 6.47 states/eV per cell
SG = No. 139

Structure (CIF):
```
data_ScNb2V2
_chemical_formula_sum 'Sc1 Nb2 V2'
_space_group_name_H-M_alt 'P 1'
_space_group_IT_number 1
_cell_length_a 6.4888
_cell_length_b 6.4888
_cell_length_c 6.4888
_cell_angle_alpha 144.29
_cell_angle_beta 144.29
_cell_angle_gamma 51.40
loop_
_space_group_symop_operation_xyz
'x,y,z'
loop_
_atom_site_label
_atom_site_type_symbol
_atom_site_fract_x
_atom_site_fract_y
_atom_site_fract_z
Sc1 Sc 0.0000 0.0000 0.0000
Nb1 Nb 0.2500 0.7500 0.5000
Nb2 Nb 0.7500 0.2500 0.5000
V1 V 0.4094 0.4094 0.0000
V2 V 0.5906 0.5906 0.0000
```

## b
Below is a geometry-optimized ScNb2V2 structure, with properties calculated at the PBE level.

Values from the calculation:
DOS(E_F) = 13.40 states/eV per cell
SG = No. 127

Structure (CIF):
```
data_ScNb2V2
_chemical_formula_sum 'Sc2 Nb4 V4'
_space_group_name_H-M_alt 'P 1'
_space_group_IT_number 1
_cell_length_a 7.5107
_cell_length_b 7.5107
_cell_length_c 3.1751
_cell_angle_alpha 90.00
_cell_angle_beta 90.00
_cell_angle_gamma 90.00
loop_
_space_group_symop_operation_xyz
'x,y,z'
loop_
_atom_site_label
_atom_site_type_symbol
_atom_site_fract_x
_atom_site_fract_y
_atom_site_fract_z
Sc1 Sc 0.0000 0.0000 0.0000
Sc2 Sc 0.5000 0.5000 0.0000
Nb1 Nb 0.1463 0.3537 0.0000
Nb2 Nb 0.3537 0.8537 0.0000
Nb3 Nb 0.6463 0.1463 0.0000
Nb4 Nb 0.8537 0.6463 0.0000
V1 V 0.1423 0.6423 0.5000
V2 V 0.3577 0.1423 0.5000
V3 V 0.6423 0.8577 0.5000
V4 V 0.8577 0.3577 0.5000
```

## c
Below is a geometry-optimized ScNb2V2 structure, with properties calculated at the PBE level.

Values from the calculation:
DOS(E_F) = 9.69 states/eV per cell
SG = No. 127

Structure (CIF):
```
data_ScNb2V2
_chemical_formula_sum 'Sc2 Nb4 V4'
_space_group_name_H-M_alt 'P 1'
_space_group_IT_number 1
_cell_length_a 7.3544
_cell_length_b 7.3544
_cell_length_c 3.2939
_cell_angle_alpha 90.00
_cell_angle_beta 90.00
_cell_angle_gamma 90.00
loop_
_space_group_symop_operation_xyz
'x,y,z'
loop_
_atom_site_label
_atom_site_type_symbol
_atom_site_fract_x
_atom_site_fract_y
_atom_site_fract_z
Sc1 Sc 0.0000 0.0000 0.0000
Sc2 Sc 0.5000 0.5000 0.0000
Nb1 Nb 0.1545 0.3455 0.5000
Nb2 Nb 0.3455 0.8455 0.5000
Nb3 Nb 0.6545 0.1545 0.5000
Nb4 Nb 0.8455 0.6545 0.5000
V1 V 0.1330 0.6330 0.0000
V2 V 0.3670 0.1330 0.0000
V3 V 0.6330 0.8670 0.0000
V4 V 0.8670 0.3670 0.0000
```

Result of the stability comparison: a is the least stable of them.